Entry 1:
Compound: NaEu2Er
Source: Alexandria via LeMat-Bulk
Functional: PBE
Structure: optimized geometry

a = 3.697 Å, b = 3.697 Å, c = 11.101 Å
α = 90.00°, β = 90.00°, γ = 90.00°
Each line ends with the local moment (μB).
Positions (direct):
Eu 0.000 0.000 0.235  7.02
Eu 0.000 0.000 0.765  7.02
Er 0.500 0.500 0.000  0.51
Na 0.500 0.500 0.500  0.01

Summary:
Energy of formation from the pure elements: 0.11 eV per atom
Distance to the lowest polymorph of the same formula: 0.02 eV/f.u.
SG: P4/mmm, No. 123

Entry 2:
Compound: NaEu2Er
Source: Alexandria via LeMat-Bulk
Functional: PBE
Structure: optimized geometry

a = 3.889 Å, b = 6.178 Å, c = 6.178 Å
α = 90.00°, β = 90.00°, γ = 90.00°
Each line ends with the local moment (μB).
Positions (direct):
Eu 0.000 0.500 0.000  6.92
Eu 0.000 0.000 0.500  6.92
Na 0.500 0.000 0.000  0.00
Er 0.500 0.500 0.500  0.18

Summary:
Energy of formation from the pure elements: 0.17 eV per atom
Distance to the lowest polymorph of the same formula: 0.30 eV/f.u.
SG: P4/mmm, No. 123

Entry 3:
Compound: NaEuErPb
Source: Alexandria via LeMat-Bulk
Functional: PBE
Structure: optimized geometry

a = 5.532 Å, b = 5.532 Å, c = 5.532 Å
α = 60.00°, β = 60.00°, γ = 60.00°
Each line ends with the local moment (μB).
Positions (direct):
Pb 0.500 0.500 0.500  0.03
Na 0.000 0.000 0.000  -0.01
Eu 0.750 0.750 0.750  -6.94
Er 0.250 0.250 0.250  -0.20

Summary:
Energy of formation from the pure elements: -0.18 eV per atom
SG: F-43m, No. 216

Entry 4:
Compound: EuEr2Nb
Source: Alexandria via LeMat-Bulk
Functional: PBE
Structure: optimized geometry

a = 3.296 Å, b = 3.296 Å, c = 12.002 Å
α = 82.11°, β = 82.11°, γ = 60.00°
Each line ends with the local moment (μB).
Positions (direct):
Eu 0.500 0.500 0.500  7.04
Er 0.919 0.919 0.242  0.00
Er 0.081 0.081 0.758  0.00
Nb 0.000 0.000 0.000  -0.26

Summary:
Energy of formation from the pure elements: 0.60 eV per atom
SG: R-3m, No. 166

Entry 5:
Compound: NdEuEr4
Source: Alexandria via LeMat-Bulk
Functional: PBE
Structure: optimized geometry

a = 6.680 Å, b = 6.680 Å, c = 6.680 Å
α = 60.00°, β = 60.00°, γ = 60.00°
Each line ends with the local moment (μB).
Positions (direct):
Er 0.626 0.122 0.626  0.02
Er 0.122 0.626 0.626  0.02
Er 0.626 0.626 0.122  0.02
Er 0.626 0.626 0.626  0.02
Eu 0.250 0.250 0.250  6.90
Nd 0.000 0.000 0.000  -0.23

Summary:
Energy of formation from the pure elements: 0.26 eV per atom
SG: F-43m, No. 216

Entry 6:
Compound: NdEuEr2
Source: Alexandria via LeMat-Bulk
Functional: PBE
Structure: optimized geometry

a = 3.933 Å, b = 5.864 Å, c = 5.864 Å
α = 90.00°, β = 90.00°, γ = 90.00°
Each line ends with the local moment (μB).
Positions (direct):
Er 0.000 0.000 0.500  0.03
Er 0.000 0.500 0.000  0.03
Nd 0.500 0.000 0.000  -0.07
Eu 0.500 0.500 0.500  6.87

Summary:
Energy of formation from the pure elements: 0.14 eV per atom
Distance to the lowest polymorph of the same formula: 0.30 eV/f.u.
SG: P4/mmm, No. 123

One value per record, in order, for theoretical density: 5.41 5.53 7.62 8.63 7.61 7.74 Mg/m³.